DFT (PBE-GGA) results for a geometry-optimized BaErInCl6 structure.

Cell lengths 7.6312, 7.6312, 12.8374 Å; angles 90.00, 90.00, 120.00 degrees
Last column: nearest neighbours and their distance in Å.
Space group P-31c (No. 163)
Inequivalent atoms, fractional coordinates:
Ba (0.3333, 0.6667, 0.2500)  6 Cl 3.10
Er (0.3333, 0.6667, 0.7500)  6 Cl 2.64
In (0.0000, 0.0000, 0.0000)  6 Cl 3.27
Cl (0.0455, 0.3859, 0.6335)  1 Er 2.64

Output
Formation energy without anion corrections (meV/atom): -2037
Total energy (eV per atom): -4.29
N(E_F) (states/eV/f.u.): 0.00
Volume (A^3/atom): 35.97

***

DFT (PBE-GGA) results for a geometry-optimized KBaErCl6 structure.

Cell lengths 7.5213, 7.5213, 12.7069 Å; angles 90.00, 90.00, 120.00 degrees
Last column: nearest neighbours and their distance in Å.
Space group P-31c (No. 163)
Inequivalent atoms, fractional coordinates:
K (0.3333, 0.6667, 0.2500)  6 Cl 3.14
Ba (0.0000, 0.0000, 0.0000)  6 Cl 3.13
Er (0.3333, 0.6667, 0.7500)  6 Cl 2.64
Cl (0.0510, 0.3740, 0.6315)  1 Er 2.64

Output
Formation energy without anion corrections (meV/atom): -2298
Total energy (eV per atom): -4.37
N(E_F) (states/eV/f.u.): 0.00
Volume (A^3/atom): 34.58